Nd4Si4N7ClO3 GGA-PBE optimized geometry; crystal system = orthorhombic; electronic total energy = -8.0080 eV per atom; uncorrected formation energy = -1.92 eV per atom
1.0
10.381 0.000 0.000
0.000 10.444 0.000
0.000 0.000 10.562
Nd Si N Cl O
16 16 28 4 12
direct
0.046 0.183 0.311
0.107 0.893 0.899
0.182 0.813 0.545
0.192 0.552 0.822
0.308 0.448 0.322
0.318 0.187 0.045
0.393 0.107 0.399
0.454 0.817 0.811
0.546 0.317 0.689
0.607 0.607 0.101
0.682 0.687 0.455
0.692 0.948 0.178
0.808 0.052 0.678
0.818 0.313 0.955
0.893 0.393 0.601
0.954 0.683 0.189
0.072 0.429 0.070
0.081 0.259 0.804
0.196 0.918 0.257
0.246 0.698 0.077
0.254 0.302 0.577
0.304 0.082 0.757
0.419 0.741 0.304
0.428 0.571 0.570
0.572 0.071 0.930
0.581 0.241 0.196
0.696 0.582 0.743
0.746 0.802 0.923
0.754 0.198 0.423
0.804 0.418 0.243
0.919 0.759 0.696
0.928 0.929 0.430
0.051 0.369 0.921
0.079 0.946 0.367
0.131 0.350 0.676
0.133 0.579 0.053
0.149 0.825 0.132
0.175 0.131 0.851
0.214 0.257 0.425
0.286 0.743 0.925
0.325 0.869 0.351
0.351 0.175 0.632
0.367 0.421 0.553
0.369 0.650 0.176
0.421 0.054 0.867
0.449 0.631 0.421
0.551 0.131 0.079
0.579 0.554 0.633
0.631 0.150 0.324
0.633 0.921 0.947
0.649 0.675 0.868
0.675 0.369 0.149
0.714 0.243 0.575
0.786 0.757 0.075
0.825 0.631 0.649
0.851 0.325 0.368
0.867 0.079 0.447
0.869 0.850 0.824
0.921 0.446 0.133
0.949 0.869 0.579
0.077 0.580 0.427
0.423 0.420 0.927
0.577 0.920 0.573
0.923 0.080 0.073
0.069 0.715 0.737
0.165 0.335 0.158
0.241 0.066 0.211
0.259 0.934 0.711
0.335 0.665 0.658
0.431 0.285 0.237
0.569 0.785 0.263
0.665 0.165 0.842
0.741 0.434 0.789
0.759 0.566 0.289
0.835 0.835 0.342
0.931 0.215 0.763